1.
# Co3MoI PBE optimized geometry
data_Co3MoI
_cell_length_a 4.5146
_cell_length_b 4.5146
_cell_length_c 4.5146
_cell_angle_alpha 90.00
_cell_angle_beta 90.00
_cell_angle_gamma 90.00
_space_group_name_H-M_alt 'P m -3 m'
_space_group_IT_number 221
_space_group_name_Hall '-P 4 2 3'
loop_
_atom_site_label
_atom_site_fract_x
_atom_site_fract_y
_atom_site_fract_z
Co1 0.0000 0.0000 0.5000
Mo1 0.0000 0.0000 0.0000
I1 0.5000 0.5000 0.5000
# **Density**: 7.2 g/cm³
# **D(E_F)**: 8.40 states/eV per cell
# **Calculated volume**: 18.402 Å³/atom
# **Formation energy (no corrections)**: 1.524 eV/atom
# **Polymorph energy (0 for the lowest one)**: 0.0 meV per atom
# **Magnetization**: 1.0 Bohr magnetons per cell

***

2.
# NaZr2TaO8 PBE optimized geometry
data_NaZr2TaO8
_cell_length_a 6.9102
_cell_length_b 7.0381
_cell_length_c 6.7178
_cell_angle_alpha 90.00
_cell_angle_beta 90.00
_cell_angle_gamma 90.00
_space_group_name_H-M_alt 'C m m m'
_space_group_IT_number 65
_space_group_name_Hall '-C 2 2'
loop_
_atom_site_label
_atom_site_fract_x
_atom_site_fract_y
_atom_site_fract_z
Na1 0.0000 0.0000 0.0000
Zr1 0.0000 0.5000 0.2360
Ta1 0.0000 0.0000 0.5000
O1 0.0000 0.2907 0.5000
O2 0.0000 0.3174 0.0000
O3 0.2026 0.0000 0.2917
# **Density**: 5.2 g/cm³
# **D(E_F)**: 18.61 states/eV per cell
# **Calculated volume**: 13.613 Å³/atom
# **Formation energy (no corrections)**: -2.506 eV/atom
# **Magnetization**: 4.1 Bohr magnetons per cell

***

3.
# Pr2AlSi3Pd4 PBE optimized geometry
data_Pr2AlSi3Pd4
_cell_length_a 4.2799
_cell_length_b 4.2799
_cell_length_c 10.1001
_cell_angle_alpha 90.00
_cell_angle_beta 90.00
_cell_angle_gamma 90.00
_space_group_name_H-M_alt 'P -4 m 2'
_space_group_IT_number 115
loop_
_space_group_symop_operation_xyz
'x,y,z'
'y,-x,-z'
'-x,-y,z'
'-y,x,-z'
'-x,y,z'
'-y,-x,-z'
'x,-y,z'
'y,x,-z'
loop_
_atom_site_label
_atom_site_fract_x
_atom_site_fract_y
_atom_site_fract_z
Pr1 0.0000 0.5000 0.2495
Al1 0.0000 0.0000 0.5000
Si1 0.0000 0.5000 0.8728
Si2 0.5000 0.5000 0.5000
Pd1 0.0000 0.0000 0.0000
Pd2 0.0000 0.5000 0.6307
Pd3 0.5000 0.5000 0.0000
# **Density**: 7.3 g/cm³
# **D(E_F)**: 5.24 states/eV per cell
# **Calculated volume**: 18.501 Å³/atom
# **Formation energy (no corrections)**: -0.913 eV/atom
# **Magnetization**: 0.0 Bohr magnetons per cell